[1]
DyErSc5, relaxed, DFT PBE-GGA; volume = 28.10 A^3/atom; space group = P4/mmm (123); uncorrected energy = -38.235 eV for the cell shown
1.0
5.071 0.000 0.000
0.000 5.071 0.000
0.000 0.000 7.650
Sc Dy Er
5 1 1
direct
0.500 0.000 0.226 Sc
0.000 0.500 0.774 Sc
0.500 0.000 0.774 Sc
0.000 0.500 0.226 Sc
0.500 0.500 0.500 Sc
0.000 0.000 0.500 Dy
0.500 0.500 0.000 Er

[2]
HoNpBr6, relaxed, DFT PBE-GGA; volume = 39.43 A^3/atom; space group = C2/m (12); uncorrected energy = -40.069 eV for the cell shown
1.0
-2.797 2.904 -6.313
-2.275 -6.522 2.896
-3.242 4.272 4.557
Br Np Ho
6 1 1
direct
0.594 0.886 0.744 Br
0.114 0.406 0.256 Br
0.406 0.114 0.256 Br
0.253 0.253 0.746 Br
0.886 0.594 0.744 Br
0.747 0.747 0.254 Br
0.000 0.000 0.000 Np
0.500 0.500 0.500 Ho

[3]
LiReS2Cl, relaxed, DFT PBE-GGA; excess energy over the best structure of this formula in the dataset = 0 meV per atom; volume = 21.89 A^3/atom; space group = P4/mmm (123); uncorrected energy = -25.784 eV for the cell shown
1.0
-3.145 -2.745 1.808
-0.899 -1.688 -4.128
3.674 -3.732 0.725
Li S Re Cl
1 2 1 1
direct
0.500 0.500 0.500 Li
0.000 0.500 0.000 S
0.500 0.000 0.000 S
0.000 0.000 0.000 Re
0.000 0.000 0.500 Cl

[4]
CaPAu, relaxed, DFT PBE-GGA; volume = 21.24 A^3/atom; space group = P6_3mc (186); uncorrected energy = -26.662 eV for the cell shown
1.0
-1.413 -1.518 3.766
-2.018 -1.070 -3.643
4.753 -6.337 -0.771
Ca Au P
2 2 2
direct
0.000 0.000 0.000 Ca
0.000 0.000 0.500 Ca
0.333 0.667 0.250 Au
0.667 0.333 0.750 Au
0.333 0.667 0.750 P
0.667 0.333 0.250 P

[5]
AcYMgTl, relaxed, DFT PBE-GGA; excess energy over the best structure of this formula in the dataset = 0 meV per atom; volume = 31.14 A^3/atom; space group = P4mm (99); uncorrected energy = -15.422 eV for the cell shown
1.0
3.966 0.000 0.000
0.000 3.966 0.000
0.000 0.000 7.919
Mg Y Ac Tl
1 1 1 1
direct
0.000 0.000 0.390 Mg
0.500 0.500 0.606 Y
0.500 0.500 0.110 Ac
0.000 0.000 0.823 Tl

[6]
AlCoNi2, relaxed, DFT PBE-GGA; volume = 11.39 A^3/atom; space group = I-4m2 (119); uncorrected energy = -23.647 eV for the cell shown
1.0
4.261 -0.356 -0.433
1.603 3.964 0.433
-2.704 -2.175 2.536
Ni Co Al
2 1 1
direct
0.750 0.250 0.500 Ni
0.000 0.000 0.000 Ni
0.250 0.750 0.500 Co
0.500 0.500 0.000 Al

[7]
SbP2IO, relaxed, DFT PBE-GGA; excess energy over the best structure of this formula in the dataset = 336 meV per atom; volume = 21.39 A^3/atom; space group = P4/mmm (123); uncorrected energy = -17.505 eV for the cell shown
1.0
-0.370 4.774 -2.025
-0.224 -2.043 -4.775
-3.943 -0.192 0.267
O I P Sb
1 1 2 1
direct
0.000 0.000 0.500 O
0.000 0.000 0.000 I
0.500 0.000 0.000 P
0.000 0.500 0.000 P
0.500 0.500 0.500 Sb

[8]
Zr2VAgPt, relaxed, DFT PBE-GGA; volume = 21.28 A^3/atom; space group = P4/mmm (123); uncorrected energy = -31.455 eV for the cell shown
1.0
-3.274 -1.192 3.186
3.239 0.412 3.483
-1.144 4.550 0.526
Zr Pt Ag V
2 1 1 1
direct
0.500 0.000 0.000 Zr
0.000 0.000 0.500 Zr
0.500 0.500 0.500 Pt
0.000 0.500 0.000 Ag
0.000 0.000 0.000 V